First-principles (PBE) data for a relaxed LaZrPt4 crystal, as listed in the Alexandria database.

Unit cell a=5.4487 b=5.4487 c=5.4487 alpha=60.00 beta=60.00 gamma=60.00
With the nearest neighbours (Å) after each atom.
Sites, in units of the cell vectors:
1 La 0.0000 0.0000 0.0000  12 Pt 3.20, 4 Zr 3.34
2 Zr 0.2500 0.2500 0.2500  12 Pt 3.19, 4 La 3.34
3 Pt 0.1265 0.6245 0.6245  6 Pt 2.71-2.73
4 Pt 0.6245 0.1265 0.6245  6 Pt 2.71-2.73
5 Pt 0.6245 0.6245 0.1265  6 Pt 2.71-2.73
6 Pt 0.6245 0.6245 0.6245  6 Pt 2.71-2.73

Properties
DOS(E_F) in states/eV per cell: 3.08
Space-group type: F-43m, No. 216
Formation energy from the elements in kJ/mol of formula units: -496

First-principles (PBE) data for a relaxed LaZr2Pt crystal, as listed in the Alexandria database.

Unit cell a=9.4680 b=9.4680 c=9.4680 alpha=21.80 beta=21.80 gamma=21.80
With the nearest neighbours (Å) after each atom.
Sites, in units of the cell vectors:
1 La 0.0000 0.0000 0.0000  6 Zr 3.52, 6 La 3.58
2 Zr 0.2307 0.2307 0.2307  3 Pt 2.72
3 Zr 0.7693 0.7693 0.7693  3 Pt 2.72
4 Pt 0.5000 0.5000 0.5000  6 Zr 2.72

Properties
DOS(E_F) in states/eV per cell: 6.10
Space-group type: R-3m, No. 166
Formation energy from the elements in kJ/mol of formula units: -73

First-principles (PBE) data for a relaxed La2ZrPt crystal, as listed in the Alexandria database.

Unit cell a=9.6661 b=9.6661 c=9.6661 alpha=22.49 beta=22.49 gamma=22.49
With the nearest neighbours (Å) after each atom.
Sites, in units of the cell vectors:
1 La 0.2369 0.2369 0.2369  3 Pt 2.95
2 La 0.7631 0.7631 0.7631  3 Pt 2.95
3 Zr 0.0000 0.0000 0.0000  6 La 3.49, 6 Zr 3.77
4 Pt 0.5000 0.5000 0.5000  6 La 2.95

Properties
DOS(E_F) in states/eV per cell: 3.10
Space-group type: R-3m, No. 166
Formation energy from the elements in kJ/mol of formula units: -108

First-principles (PBE) data for a relaxed La2ZrPt crystal, as listed in the Alexandria database.

Unit cell a=5.0498 b=3.8050 c=6.5291 alpha=90.00 beta=112.68 gamma=90.00
With the nearest neighbours (Å) after each atom.
Sites, in units of the cell vectors:
1 La 0.0000 0.0000 0.0000  1 Pt 3.01, 4 Zr 3.37
2 La 0.3028 0.5000 0.6066  4 Pt 3.22-3.23, 3 Zr 3.54-3.55
3 Zr 0.5965 0.5000 0.1937  2 Pt 2.65
4 Pt 0.7501 0.0000 0.5002  2 Zr 2.65

Properties
DOS(E_F) in states/eV per cell: 5.37
Space-group type: Pm, No. 6
Formation energy from the elements in kJ/mol of formula units: -181

First-principles (PBE) data for a relaxed LaZr2Pt crystal, as listed in the Alexandria database.

Unit cell a=6.3332 b=6.3332 c=6.3332 alpha=149.01 beta=131.44 gamma=58.73
With the nearest neighbours (Å) after each atom.
Sites, in units of the cell vectors:
1 La 0.0000 0.0000 0.0000  4 Pt 3.11, 2 La 3.38
2 Zr 0.2891 0.7891 0.5000  2 Pt 2.88, 4 Zr 3.22
3 Zr 0.7109 0.2109 0.5000  2 Pt 2.88, 4 Zr 3.22
4 Pt 0.5000 0.5000 0.0000  4 Zr 2.88, 4 La 3.11

Properties
DOS(E_F) in states/eV per cell: 5.39
Space-group type: Immm, No. 71
Formation energy from the elements in kJ/mol of formula units: -152

First-principles (PBE) data for a relaxed LaZr2Pt crystal, as listed in the Alexandria database.

Unit cell a=3.6351 b=4.9659 c=5.0170 alpha=90.00 beta=90.00 gamma=90.00
With the nearest neighbours (Å) after each atom.
Sites, in units of the cell vectors:
1 La 0.0000 0.0000 0.0000  4 Pt 3.08, 4 Zr 3.10
2 Zr 0.0000 0.5000 0.5000  4 Zr 3.08, 4 Pt 3.10
3 Zr 0.5000 0.0000 0.5000  4 Zr 3.08, 4 La 3.10
4 Pt 0.5000 0.5000 0.0000  4 La 3.08, 4 Zr 3.10

Properties
DOS(E_F) in states/eV per cell: 5.27
Space-group type: Pmmm, No. 47
Formation energy from the elements in kJ/mol of formula units: -111

First-principles (PBE) data for a relaxed LaZr2Pt crystal, as listed in the Alexandria database.

Unit cell a=5.0457 b=5.0457 c=5.0457 alpha=60.00 beta=60.00 gamma=60.00
With the nearest neighbours (Å) after each atom.
Sites, in units of the cell vectors:
1 La 0.0000 0.0000 0.0000  4 Zr 3.09, 4 Pt 3.09
2 Zr 0.5000 0.5000 0.5000  4 Zr 3.09, 4 Pt 3.09
3 Zr 0.7500 0.7500 0.7500  4 Zr 3.09, 4 La 3.09
4 Pt 0.2500 0.2500 0.2500  4 Zr 3.09, 4 La 3.09

Properties
DOS(E_F) in states/eV per cell: 5.93
Space-group type: F-43m, No. 216
Formation energy from the elements in kJ/mol of formula units: -76

First-principles (PBE) data for a relaxed La2ZrPt crystal, as listed in the Alexandria database.

Unit cell a=3.5105 b=3.5105 c=8.9214 alpha=90.00 beta=90.00 gamma=90.00
With the nearest neighbours (Å) after each atom.
Sites, in units of the cell vectors:
1 La 0.0000 0.0000 0.0000  4 Zr 3.45, 4 La 3.51, 1 Pt 3.74
2 La 0.5000 0.5000 0.3507  4 Pt 3.22, 1 Zr 3.40, 4 La 3.51
3 Zr 0.5000 0.5000 0.7318  4 Pt 2.83
4 Pt 0.0000 0.0000 0.5802  4 Zr 2.83

Properties
DOS(E_F) in states/eV per cell: 6.74
Space-group type: P4mm, No. 99
Formation energy from the elements in kJ/mol of formula units: -176

First-principles (PBE) data for a relaxed LaZrPt3 crystal, as listed in the Alexandria database.

Unit cell a=5.0167 b=5.0167 c=5.0167 alpha=90.00 beta=90.00 gamma=90.00
With the nearest neighbours (Å) after each atom.
Sites, in units of the cell vectors:
1 La 0.0000 0.0000 0.0000  12 Pt 3.55
2 Zr 0.5000 0.5000 0.5000  6 Pt 2.51
3 Pt 0.0000 0.5000 0.5000  2 Zr 2.51
4 Pt 0.5000 0.0000 0.5000  2 Zr 2.51
5 Pt 0.5000 0.5000 0.0000  2 Zr 2.51

Properties
DOS(E_F) in states/eV per cell: 1.65
Space-group type: Pm-3m, No. 221
Formation energy from the elements in kJ/mol of formula units: -196

First-principles (PBE) data for a relaxed La2ZrPt crystal, as listed in the Alexandria database.

Unit cell a=6.5197 b=6.5197 c=6.5197 alpha=147.75 beta=131.28 gamma=59.64
With the nearest neighbours (Å) after each atom.
Sites, in units of the cell vectors:
1 La 0.0000 0.0000 0.0000  2 Pt 3.22, 4 Zr 3.39, 2 La 3.55
2 La 0.7054 0.2054 0.5000  4 Pt 3.26, 4 La 3.55-3.62, 2 Zr 3.57
3 Zr 0.4125 0.4125 0.0000  2 Pt 2.70
4 Pt 0.2354 0.7354 0.5000  2 Zr 2.70

Properties
DOS(E_F) in states/eV per cell: 5.23
Space-group type: Imm2, No. 44
Formation energy from the elements in kJ/mol of formula units: -171

First-principles (PBE) data for a relaxed LaZr2Pt crystal, as listed in the Alexandria database.

Unit cell a=6.0235 b=6.0235 c=5.6021 alpha=117.60 beta=117.60 gamma=33.36
With the nearest neighbours (Å) after each atom.
Sites, in units of the cell vectors:
1 La 0.0000 0.0000 0.0000  3 Pt 3.02-3.31, 3 Zr 3.17-3.36
2 Zr 0.5877 0.5877 0.5986  2 Pt 2.81
3 Zr 0.8044 0.8044 0.2464  2 Pt 2.72
4 Pt 0.2776 0.2776 0.5918  4 Zr 2.72-2.81, 2 La 3.02

Properties
DOS(E_F) in states/eV per cell: 4.28
Space-group type: Cm, No. 8
Formation energy from the elements in kJ/mol of formula units: -142

First-principles (PBE) data for a relaxed LaZr2Pt crystal, as listed in the Alexandria database.

Unit cell a=6.5734 b=6.5734 c=6.5734 alpha=102.47 beta=102.47 gamma=124.62
With the nearest neighbours (Å) after each atom.
Sites, in units of the cell vectors:
1 La 0.0000 0.0000 0.0000  2 Pt 3.05, 4 Zr 3.37
2 La 0.7500 0.2500 0.5000  2 Pt 3.05, 4 Zr 3.37
3 Zr 0.1856 0.6250 0.0606  2 Pt 2.69
4 Zr 0.3750 0.4356 0.5606  2 Pt 2.69
5 Zr 0.5644 0.1250 0.9394  2 Pt 2.69
6 Zr 0.8750 0.8144 0.4394  2 Pt 2.69
7 Pt 0.2500 0.7500 0.5000  4 Zr 2.69
8 Pt 0.5000 0.5000 0.0000  4 Zr 2.69

Properties
DOS(E_F) in states/eV per cell: 10.66
Space-group type: I-42d, No. 122
Formation energy from the elements in kJ/mol of formula units: -96

First-principles (PBE) data for a relaxed La3ZrPt crystal, as listed in the Alexandria database.

Unit cell a=5.6496 b=5.6496 c=5.6496 alpha=90.00 beta=90.00 gamma=90.00
With the nearest neighbours (Å) after each atom.
Sites, in units of the cell vectors:
1 La 0.0000 0.0000 0.5000  2 Pt 2.82
2 La 0.0000 0.5000 0.0000  2 Pt 2.82
3 La 0.5000 0.0000 0.0000  2 Pt 2.82
4 Zr 0.5000 0.5000 0.5000  12 La 3.99
5 Pt 0.0000 0.0000 0.0000  6 La 2.82

Properties
DOS(E_F) in states/eV per cell: 13.44
Space-group type: Pm-3m, No. 221
Formation energy from the elements in kJ/mol of formula units: 5

First-principles (PBE) data for a relaxed La2ZrPt crystal, as listed in the Alexandria database.

Unit cell a=3.6235 b=5.0471 c=5.3636 alpha=90.00 beta=90.00 gamma=90.00
With the nearest neighbours (Å) after each atom.
Sites, in units of the cell vectors:
1 La 0.0000 0.0000 0.0000  4 Pt 3.11, 4 La 3.24
2 La 0.5000 0.0000 0.5000  4 Zr 3.11, 4 La 3.24
3 Zr 0.0000 0.5000 0.5000  4 La 3.11, 4 Pt 3.24
4 Pt 0.5000 0.5000 0.0000  4 La 3.11, 4 Zr 3.24

Properties
DOS(E_F) in states/eV per cell: 5.96
Space-group type: Pmmm, No. 47
Formation energy from the elements in kJ/mol of formula units: -87